Compound: ZnCd2Pd9
Source: Alexandria via LeMat-Bulk
Functional: GGA-PBE
Structure: optimized geometry

Output
Space group = P4/mmm
D(E_F) = 19.26 states/eV/cell
Electronic total energy = -0.324 Ry/atom
ΔE_f = -0.249 eV/atom

Cell lengths 4.0045, 4.0045, 11.9071 Å; angles 90.00, 90.00, 90.00 degrees
Last column: nearest neighbours and their distance in Å.
Element x y z (fractional)
Pd 0.0000 0.5000 0.5000  8 Pd 2.83-2.86, 4 Cd 2.86
Pd 0.5000 0.0000 0.5000  8 Pd 2.83-2.86, 4 Cd 2.86
Pd 0.5000 0.0000 0.1573  8 Pd 2.74-2.86, 2 Zn 2.74, 2 Cd 2.86
Pd 0.5000 0.0000 0.8427  8 Pd 2.74-2.86, 2 Zn 2.74, 2 Cd 2.86
Pd 0.5000 0.5000 0.6712  4 Cd 2.83, 8 Pd 2.86
Pd 0.0000 0.5000 0.1573  8 Pd 2.74-2.86, 2 Zn 2.74, 2 Cd 2.86
Zn 0.0000 0.0000 0.0000  12 Pd 2.74-2.83
Pd 0.0000 0.5000 0.8427  8 Pd 2.74-2.86, 2 Zn 2.74, 2 Cd 2.86
Pd 0.5000 0.5000 0.3288  4 Cd 2.83, 8 Pd 2.86
Cd 0.0000 0.0000 0.6710  12 Pd 2.83-2.86
Pd 0.5000 0.5000 0.0000  8 Pd 2.74, 4 Zn 2.83
Cd 0.0000 0.0000 0.3290  12 Pd 2.83-2.86

Compound: Zn3CdPd4
Source: Alexandria via LeMat-Bulk
Functional: GGA-PBE
Structure: optimized geometry

Output
Space group = R-3m
D(E_F) = 3.19 states/eV/cell
Electronic total energy = -0.270 Ry/atom
ΔE_f = -0.487 eV/atom

Cell lengths 4.4070, 4.4070, 7.6996 Å; angles 73.37, 73.37, 60.00 degrees
Last column: nearest neighbours and their distance in Å.
Element x y z (fractional)
Pd 0.6188 0.6188 0.1435  5 Zn 2.59-2.85, 3 Cd 2.75
Zn 0.2504 0.2504 0.2487  8 Pd 2.65-2.85
Zn 0.7496 0.7496 0.7513  8 Pd 2.65-2.85
Pd 0.1288 0.1288 0.6137  7 Zn 2.65-2.73, 1 Cd 2.81
Cd 0.0000 0.0000 0.0000  8 Pd 2.75-2.81
Zn 0.5000 0.5000 0.5000  8 Pd 2.59-2.68
Pd 0.8712 0.8712 0.3863  7 Zn 2.65-2.73, 1 Cd 2.81
Pd 0.3812 0.3812 0.8565  5 Zn 2.59-2.85, 3 Cd 2.75

Compound: Zn4CdPd2
Source: Alexandria via LeMat-Bulk
Functional: GGA-PBE
Structure: optimized geometry

Output
Space group = Cmmm
D(E_F) = 1.76 states/eV/cell
Electronic total energy = -0.187 Ry/atom
ΔE_f = -0.200 eV/atom

Cell lengths 3.9149, 3.5403, 8.5258 Å; angles 101.98, 90.00, 90.00 degrees
Last column: nearest neighbours and their distance in Å.
Element x y z (fractional)
Zn 0.0000 0.3164 0.6327  2 Pd 2.60, 8 Zn 2.64-2.87
Zn 0.0000 0.6836 0.3673  2 Pd 2.60, 8 Zn 2.64-2.87
Cd 0.0000 0.0000 0.0000  8 Pd 2.96
Zn 0.5000 0.1903 0.3806  2 Pd 2.54, 6 Zn 2.64-2.66
Pd 0.5000 0.5808 0.1615  4 Zn 2.54-2.60, 1 Pd 2.69
Zn 0.5000 0.8097 0.6194  2 Pd 2.54, 6 Zn 2.64-2.66
Pd 0.5000 0.4192 0.8385  4 Zn 2.54-2.60, 1 Pd 2.69

Compound: ZnCd6Pd12
Source: Alexandria via LeMat-Bulk
Functional: GGA-PBE
Structure: optimized geometry

Output
Space group = R-3
D(E_F) = 7.16 states/eV/cell
Electronic total energy = -0.283 Ry/atom
ΔE_f = -0.218 eV/atom

Cell lengths 6.9042, 6.9042, 6.9042 Å; angles 92.75, 92.75, 92.75 degrees
Last column: nearest neighbours and their distance in Å.
Element x y z (fractional)
Cd 0.8773 0.2658 0.7066  8 Pd 2.71-2.89, 1 Zn 2.92
Pd 0.4573 0.7916 0.5441  4 Cd 2.71-2.89, 6 Pd 2.71-3.01
Pd 0.5427 0.2084 0.4559  4 Cd 2.71-2.89, 6 Pd 2.71-3.01
Pd 0.8674 0.6428 0.9635  1 Zn 2.59, 4 Pd 2.71-2.85, 4 Cd 2.83-2.88
Cd 0.7342 0.2934 0.1227  8 Pd 2.71-2.89, 1 Zn 2.92
Pd 0.6428 0.9635 0.8674  1 Zn 2.59, 4 Pd 2.71-2.85, 4 Cd 2.83-2.88
Pd 0.1326 0.3572 0.0365  1 Zn 2.59, 4 Pd 2.71-2.85, 4 Cd 2.83-2.88
Zn 0.0000 0.0000 0.0000  6 Pd 2.59
Pd 0.5441 0.4573 0.7916  4 Cd 2.71-2.89, 6 Pd 2.71-3.01
Cd 0.1227 0.7342 0.2934  8 Pd 2.71-2.89, 1 Zn 2.92
Cd 0.7066 0.8773 0.2658  8 Pd 2.71-2.89, 1 Zn 2.92
Pd 0.9635 0.8674 0.6428  1 Zn 2.59, 4 Pd 2.71-2.85, 4 Cd 2.83-2.88
Pd 0.3572 0.0365 0.1326  1 Zn 2.59, 4 Pd 2.71-2.85, 4 Cd 2.83-2.88
Pd 0.4559 0.5427 0.2084  4 Cd 2.71-2.89, 6 Pd 2.71-3.01
Pd 0.0365 0.1326 0.3572  1 Zn 2.59, 4 Pd 2.71-2.85, 4 Cd 2.83-2.88
Cd 0.2934 0.1227 0.7342  8 Pd 2.71-2.89, 1 Zn 2.92
Cd 0.2658 0.7066 0.8773  8 Pd 2.71-2.89, 1 Zn 2.92
Pd 0.7916 0.5441 0.4573  4 Cd 2.71-2.89, 6 Pd 2.71-3.01
Pd 0.2084 0.4559 0.5427  4 Cd 2.71-2.89, 6 Pd 2.71-3.01

Compound: ZnCd2Pd6
Source: Alexandria via LeMat-Bulk
Functional: GGA-PBE
Structure: optimized geometry

Output
Space group = C2/m
D(E_F) = 3.33 states/eV/cell
Electronic total energy = -0.296 Ry/atom
ΔE_f = -0.220 eV/atom

Cell lengths 2.8440, 7.6484, 8.0971 Å; angles 118.18, 100.44, 90.00 degrees
Last column: nearest neighbours and their distance in Å.
Element x y z (fractional)
Pd 0.5000 0.7136 0.0000  2 Zn 2.61, 2 Cd 2.78, 6 Pd 2.83-2.84
Cd 0.6642 0.6613 0.3225  8 Pd 2.78-2.81, 2 Cd 2.84
Pd 0.8320 0.6503 0.6679  1 Zn 2.71, 3 Cd 2.79-2.81, 7 Pd 2.81-2.94
Pd 0.1680 0.9824 0.3321  1 Zn 2.71, 3 Cd 2.79-2.81, 7 Pd 2.81-2.94
Pd 0.5000 0.2864 0.0000  2 Zn 2.61, 2 Cd 2.78, 6 Pd 2.83-2.84
Pd 0.1680 0.3497 0.3321  1 Zn 2.71, 3 Cd 2.79-2.81, 7 Pd 2.81-2.94
Zn 0.0000 0.0000 0.0000  8 Pd 2.61-2.71, 2 Zn 2.84
Pd 0.8320 0.0176 0.6679  1 Zn 2.71, 3 Cd 2.79-2.81, 7 Pd 2.81-2.94
Cd 0.3358 0.3387 0.6775  8 Pd 2.78-2.81, 2 Cd 2.84

Compound: ZnCd2Pd8
Source: Alexandria via LeMat-Bulk
Functional: GGA-PBE
Structure: optimized geometry

Output
Space group = C2/m
D(E_F) = 8.71 states/eV/cell
Electronic total energy = -0.319 Ry/atom
Distance to the lowest polymorph of the same formula = 0 meV/atom
ΔE_f = -0.287 eV/atom

Cell lengths 4.0838, 6.2692, 7.4132 Å; angles 104.90, 105.99, 90.00 degrees
Last column: nearest neighbours and their distance in Å.
Element x y z (fractional)
Cd 0.7760 0.3532 0.5520  10 Pd 2.78-2.88, 2 Cd 2.97
Zn 0.5000 0.0000 0.0000  12 Pd 2.70-2.83
Pd 0.8639 0.8244 0.7278  7 Pd 2.74-2.88, 2 Zn 2.83, 3 Cd 2.86-2.88
Cd 0.2240 0.6468 0.4480  10 Pd 2.78-2.88, 2 Cd 2.97
Pd 0.9595 0.2714 0.9189  9 Pd 2.74-2.91, 1 Cd 2.80, 2 Zn 2.82
Pd 0.5893 0.4459 0.1786  1 Zn 2.74, 8 Pd 2.78-2.91, 3 Cd 2.85-2.87
Pd 0.0405 0.7286 0.0811  9 Pd 2.74-2.91, 1 Cd 2.80, 2 Zn 2.82
Pd 0.4107 0.5541 0.8214  1 Zn 2.74, 8 Pd 2.78-2.91, 3 Cd 2.85-2.87
Pd 0.1361 0.1756 0.2722  7 Pd 2.74-2.88, 2 Zn 2.83, 3 Cd 2.86-2.88
Pd 0.6747 0.9071 0.3493  1 Zn 2.70, 3 Cd 2.78-2.82, 8 Pd 2.79-2.97
Pd 0.3253 0.0929 0.6507  1 Zn 2.70, 3 Cd 2.78-2.82, 8 Pd 2.79-2.97